Entry 1:
First-principles (PBE) data for Ac2Al3Zn4Sn after structural relaxation, as listed in Alexandria via LeMat-Bulk.

Results
symmetry	P-4m2
formation enthalpy at 0 K	-3.92	eV/f.u.

a b c (Å): 4.5231 4.5231 10.8713
angles (deg): 90.00 90.00 90.00
Fractional positions:
Ac1 0.0000 0.5000 0.2379
Ac2 0.5000 0.0000 0.7621
Al1 0.0000 0.5000 0.8789
Al2 0.5000 0.0000 0.1211
Al3 0.5000 0.5000 0.5000
Zn1 0.0000 0.0000 0.0000
Zn2 0.0000 0.5000 0.6455
Zn3 0.5000 0.0000 0.3545
Zn4 0.5000 0.5000 0.0000
Sn1 0.0000 0.0000 0.5000

Entry 2:
First-principles (PBE) data for UCo3Ge3 after structural relaxation, as listed in Alexandria via LeMat-Bulk.

Results
energy relative to the lowest polymorph listed for this composition	308	meV per atom
symmetry	Pm-3n
formation enthalpy at 0 K	1.74	eV/f.u.

a b c (Å): 6.3471 6.3471 6.3471
angles (deg): 90.00 90.00 90.00
Fractional positions:
U1 0.0000 0.0000 0.0000
U2 0.5000 0.5000 0.5000
Co1 0.0000 0.2500 0.5000
Co2 0.0000 0.7500 0.5000
Co3 0.2500 0.5000 0.0000
Co4 0.5000 0.0000 0.2500
Co5 0.5000 0.0000 0.7500
Co6 0.7500 0.5000 0.0000
Ge1 0.0000 0.5000 0.2500
Ge2 0.0000 0.5000 0.7500
Ge3 0.2500 0.0000 0.5000
Ge4 0.5000 0.2500 0.0000
Ge5 0.5000 0.7500 0.0000
Ge6 0.7500 0.0000 0.5000

Entry 3:
First-principles (PBE) data for SiPRh after structural relaxation, as listed in Alexandria via LeMat-Bulk.

Results
raw formation energy	-0.28	eV/atom
symmetry	Cm

a b c (Å): 7.2095 2.7880 4.8321
angles (deg): 90.00 92.08 90.00
Fractional positions:
Si1 0.0000 0.0000 0.0000
Si2 0.5000 0.5000 0.0000
P1 0.4915 0.5000 0.4709
P2 0.9915 0.0000 0.4709
Rh1 0.2073 0.5000 0.7352
Rh2 0.7073 0.0000 0.7352

Entry 4:
First-principles (PBE) data for ZrZn11Ni after structural relaxation, as listed in Alexandria via LeMat-Bulk.

Results
symmetry	C2/m
formation enthalpy at 0 K	-2.03	eV/f.u.

a b c (Å): 6.6822 6.6822 6.6329
angles (deg): 98.40 98.40 135.07
Fractional positions:
Zr1 0.0000 0.0000 0.0000
Zn1 0.0000 0.5000 0.0000
Zn2 0.0091 0.6676 0.6455
Zn3 0.2808 0.4906 0.7851
Zn4 0.3324 0.9909 0.3545
Zn5 0.4906 0.2808 0.7851
Zn6 0.5000 0.0000 0.0000
Zn7 0.5000 0.5000 0.5000
Zn8 0.5094 0.7192 0.2149
Zn9 0.6676 0.0091 0.6455
Zn10 0.7192 0.5094 0.2149
Zn11 0.9909 0.3324 0.3545
Ni1 0.0000 0.0000 0.5000

Entry 5:
First-principles (PBE) data for Ta2AlCu after structural relaxation, as listed in Alexandria via LeMat-Bulk.

Results
symmetry	Pmm2
formation enthalpy at 0 K	0.24	eV/f.u.

a b c (Å): 2.8671 3.7977 6.0110
angles (deg): 90.00 90.00 90.00
Fractional positions:
Ta1 0.0000 0.0000 0.0000
Ta2 0.5000 0.5000 0.2603
Al1 0.0000 0.0000 0.5221
Cu1 0.5000 0.5000 0.7395

Entry 6:
First-principles (PBE) data for Ag9S4I4 after structural relaxation, as listed in Alexandria via LeMat-Bulk.

Results
raw formation energy	0.01	eV/atom
symmetry	Cm

a b c (Å): 4.1276 4.1276 26.9368
angles (deg): 90.49 90.49 63.06
Fractional positions:
Ag1 0.0000 0.0000 0.0000
Ag2 0.0041 0.0041 0.6296
Ag3 0.2162 0.2162 0.5298
Ag4 0.3269 0.3269 0.8611
Ag5 0.3369 0.3369 0.2817
Ag6 0.6601 0.6601 0.7183
Ag7 0.6724 0.6724 0.1389
Ag8 0.7820 0.7820 0.4703
Ag9 0.9928 0.9928 0.3704
S1 0.2710 0.2710 0.4280
S2 0.3108 0.3108 0.6781
S3 0.6858 0.6858 0.3220
S4 0.7256 0.7256 0.5721
I1 0.0140 0.0140 0.2033
I2 0.3407 0.3407 0.0680
I3 0.6591 0.6591 0.9320
I4 0.9849 0.9849 0.7967